Record 1
# KTl4Cd2 PBE-GGA optimized geometry
data_KTl4Cd2
_symmetry_space_group_name_H-M 'C m m m'
_symmetry_Int_Tables_number 65
_symmetry_space_group_name_Hall '-C 2 2'
_cell_length_a 5.179
_cell_length_b 17.175
_cell_length_c 5.098
_cell_angle_alpha 90.00
_cell_angle_beta 90.00
_cell_angle_gamma 90.00
loop_
_atom_site_label
_atom_site_type_symbol
_atom_site_fract_x
_atom_site_fract_y
_atom_site_fract_z
K1 K 0.000 0.000 0.000
Tl1 Tl 0.000 0.182 0.500
Tl2 Tl 0.000 0.312 0.000
Cd1 Cd 0.000 0.417 0.500
# energy of formation: -50 meV/atom


Record 2
# KTl11Cd PBE-GGA optimized geometry
data_KTl11Cd
_symmetry_space_group_name_H-M 'C 1 2/m 1'
_symmetry_Int_Tables_number 12
_symmetry_space_group_name_Hall '-C 2y'
_cell_length_a 6.437
_cell_length_b 16.107
_cell_length_c 8.618
_cell_angle_alpha 90.00
_cell_angle_beta 110.74
_cell_angle_gamma 90.00
loop_
_atom_site_label
_atom_site_type_symbol
_atom_site_fract_x
_atom_site_fract_y
_atom_site_fract_z
K1 K 0.000 0.000 0.000
Tl1 Tl 0.000 0.000 0.500
Tl2 Tl 0.100 0.396 0.216
Tl3 Tl 0.179 0.177 0.360
Tl4 Tl 0.250 0.250 0.000
Cd1 Cd 0.000 0.500 0.500
# energy of formation: -6 meV/atom


Record 3
# K5Tl4Cd2 PBE-GGA optimized geometry
data_K5Tl4Cd2
_symmetry_space_group_name_H-M 'C 1 2/m 1'
_symmetry_Int_Tables_number 12
_symmetry_space_group_name_Hall '-C 2y'
_cell_length_a 22.807
_cell_length_b 4.250
_cell_length_c 9.746
_cell_angle_alpha 90.00
_cell_angle_beta 95.15
_cell_angle_gamma 90.00
loop_
_atom_site_label
_atom_site_type_symbol
_atom_site_fract_x
_atom_site_fract_y
_atom_site_fract_z
K1 K 0.000 0.000 0.000
K2 K 0.150 0.500 0.254
K3 K 0.162 0.500 0.810
Tl1 Tl 0.007 0.500 0.683
Tl2 Tl 0.206 0.000 0.544
Cd1 Cd 0.072 0.000 0.504
# energy of formation: -49 meV/atom


Record 4
# KTl10Cd3 PBE-GGA optimized geometry
data_KTl10Cd3
_symmetry_space_group_name_H-M 'F m -3 m'
_symmetry_Int_Tables_number 225
_symmetry_space_group_name_Hall '-F 4 2 3'
_cell_length_a 15.435
_cell_length_b 15.435
_cell_length_c 15.435
_cell_angle_alpha 90.00
_cell_angle_beta 90.00
_cell_angle_gamma 90.00
loop_
_atom_site_label
_atom_site_type_symbol
_atom_site_fract_x
_atom_site_fract_y
_atom_site_fract_z
K1 K 0.250 0.250 0.250
Tl1 Tl 0.000 0.174 0.174
Tl2 Tl 0.120 0.120 0.380
Cd1 Cd 0.000 0.000 0.272
# energy of formation: 71 meV/atom


Q: Among the records above, which one has the highest energy of formation?
A: KTl10Cd3


Q: Among the records above, which one has the lowest energy of formation?
A: KTl4Cd2


Q: The lowest energy of formation belongs to which entry?
A: KTl4Cd2


Q: What is the energy of formation in the first record?
A: -50 meV/atom